The following is a DFT calculation (PBE-GGA) of a geometry-optimized SnPtSeBr2 structure.

## Properties
Its crystal system is tetragonal. As for the total energy: -3.3917 eV per atom. The calculation puts the offset from the most stable computed form at 0 meV per atom. Its uncorrected formation energy is -17 meV/atom.

a = 5.108 Å, b = 5.108 Å, c = 5.113 Å
α = 90.00°, β = 90.00°, γ = 90.00°
Space group P4/mmm (No. 123)
Inequivalent atoms, fractional coordinates:
Sn: 0.000 0.000 0.000 [1 per cell]
Pt: 0.500 0.500 0.500 [1 per cell]
Se: 0.500 0.500 0.000 [1 per cell]
Br: 0.000 0.500 0.500 [2 per cell]

***

The following is a DFT calculation (PBE-GGA) of a geometry-optimized PmHfMn4 structure.

## Properties
As for the energy of formation from the pure elements: 0.66 eV per formula unit. Its crystal system is cubic. As for the total energy: -8.4539 eV per atom.

a = 7.155 Å, b = 7.155 Å, c = 7.155 Å
α = 90.00°, β = 90.00°, γ = 90.00°
Space group F-43m (No. 216)
Inequivalent atoms, fractional coordinates:
Pm: 0.000 0.000 0.000 [4 per cell]
Hf: 0.250 0.250 0.250 [4 per cell]
Mn: 0.124 0.124 0.624 [16 per cell]

***

The following is a DFT calculation (PBE-GGA) of a geometry-optimized CdPPb structure.

## Properties
As for the energy of formation from the pure elements: 0.43 eV per formula unit. Its crystal system is cubic. As for the total energy: -3.2021 eV per atom. The calculation puts the offset from the most stable computed form at 61 meV per atom.

a = 6.827 Å, b = 6.827 Å, c = 6.827 Å
α = 90.00°, β = 90.00°, γ = 90.00°
Space group P2_13 (No. 198)
Inequivalent atoms, fractional coordinates:
Cd: 0.038 0.038 0.038 [4 per cell]
P: 0.147 0.853 0.353 [4 per cell]
Pb: 0.082 0.582 0.918 [4 per cell]

***

The following is a DFT calculation (PBE-GGA) of a geometry-optimized Y2RhI structure.

## Properties
Its crystal system is trigonal. As for the total energy: -6.3671 eV per atom. The calculation puts the offset from the most stable computed form at 9 meV per atom. Its uncorrected formation energy is -910 meV/atom.

a = 4.0983 Å, b = 4.0983 Å, c = 23.7390 Å
α = 90.00°, β = 90.00°, γ = 120.00°
Space group R3m (No. 160, hexagonal axes)
Inequivalent atoms, fractional coordinates:
Y: 0.0000 0.0000 0.0000 [3 per cell]
Y: 0.0000 0.0000 0.2128 [3 per cell]
Rh: 0.0000 0.0000 0.6061 [3 per cell]
I: 0.0000 0.0000 0.4373 [3 per cell]

***

The following is a DFT calculation (PBE-GGA) of a geometry-optimized Ca2BiPb structure.

## Properties
As for the energy of formation from the pure elements: -2.42 eV per formula unit. Its crystal system is tetragonal. As for the total energy: -3.5030 eV per atom. The calculation puts the offset from the most stable computed form at 19 meV per atom.

a = 3.956 Å, b = 3.956 Å, c = 7.973 Å
α = 90.00°, β = 90.00°, γ = 90.00°
Space group P4/mmm (No. 123)
Inequivalent atoms, fractional coordinates:
Ca: 0.000 0.000 0.242 [2 per cell]
Bi: 0.500 0.500 0.000 [1 per cell]
Pb: 0.500 0.500 0.500 [1 per cell]

***

The following is a DFT calculation (PBE-GGA) of a geometry-optimized KCr2Tc structure.

## Properties
As for the energy of formation from the pure elements: 6.04 eV per formula unit. Its crystal system is orthorhombic. As for the total energy: -6.1676 eV per atom. The calculation puts the offset from the most stable computed form at 722 meV per atom.

a = 3.139 Å, b = 4.606 Å, c = 5.097 Å
α = 90.00°, β = 90.00°, γ = 90.00°
Space group Pmmm (No. 47)
Inequivalent atoms, fractional coordinates:
K: 0.000 0.000 0.000 [1 per cell]
Cr: 0.000 0.500 0.500 [1 per cell]
Cr: 0.500 0.500 0.000 [1 per cell]
Tc: 0.500 0.000 0.500 [1 per cell]

***

The following is a DFT calculation (PBE-GGA) of a geometry-optimized SbC5 structure.

## Properties
Its crystal system is cubic. As for the total energy: -5.3168 eV per atom. The calculation puts the offset from the most stable computed form at 1943 meV per atom. Its uncorrected formation energy is 3057 meV/atom.

a = 6.397 Å, b = 6.397 Å, c = 6.397 Å
α = 90.00°, β = 90.00°, γ = 90.00°
Space group F-43m (No. 216)
Inequivalent atoms, fractional coordinates:
Sb: 0.000 0.000 0.000 [4 per cell]
C: 0.087 0.087 0.413 [16 per cell]
C: 0.250 0.250 0.750 [4 per cell]

***

The following is a DFT calculation (PBE-GGA) of a geometry-optimized BeInRh2 structure.

## Properties
As for the energy of formation from the pure elements: -1.29 eV per formula unit. Its crystal system is tetragonal. As for the total energy: -5.6136 eV per atom.

a = 4.295 Å, b = 4.295 Å, c = 3.111 Å
α = 90.00°, β = 90.00°, γ = 90.00°
Space group P4/mmm (No. 123)
Inequivalent atoms, fractional coordinates:
Be: 0.000 0.000 0.000 [1 per cell]
In: 0.500 0.500 0.000 [1 per cell]
Rh: 0.000 0.500 0.500 [2 per cell]